No. 1
## Tl5HgAu (PBE)

Data for an optimized crystal structure of Tl5HgAu.

Unit cell a=6.1940 b=6.1940 c=11.7731 alpha=104.80 beta=104.80 gamma=76.58
Positions (direct):
Tl: 0.0034 0.9966 0.7500
Tl: 0.0503 0.4607 0.1390
Tl: 0.2175 0.5140 0.4476
Tl: 0.4607 0.0503 0.6390
Tl: 0.4860 0.7825 0.0524
Tl: 0.5140 0.2175 0.9476
Tl: 0.5393 0.9497 0.3610
Tl: 0.7825 0.4860 0.5524
Tl: 0.9497 0.5393 0.8610
Tl: 0.9966 0.0034 0.2500
Hg: 0.4179 0.5821 0.7500
Hg: 0.5821 0.4179 0.2500
Au: 0.0000 0.0000 0.0000
Au: 0.0000 0.0000 0.5000

Properties
Crystal system   monoclinic
Formation energy   0.06 eV/f.u.
Offset from the most stable computed form   0 meV per atom
M_tot   0.00 μB/f.u.
Space-group type   C2/c

No. 2
## TlHgAu2 (PBE)

Data for an optimized crystal structure of TlHgAu2.

Unit cell a=6.9757 b=5.6393 c=9.6506 alpha=90.00 beta=90.00 gamma=90.00
Positions (direct):
Tl: 0.0668 0.2500 0.1397
Tl: 0.4332 0.7500 0.6397
Tl: 0.5668 0.2500 0.3603
Tl: 0.9332 0.7500 0.8603
Hg: 0.1601 0.2500 0.6917
Hg: 0.3399 0.7500 0.1917
Hg: 0.6601 0.2500 0.8083
Hg: 0.8399 0.7500 0.3083
Au: 0.1816 0.0026 0.4227
Au: 0.1816 0.4974 0.4227
Au: 0.3184 0.5026 0.9227
Au: 0.3184 0.9974 0.9227
Au: 0.6816 0.0026 0.0773
Au: 0.6816 0.4974 0.0773
Au: 0.8184 0.5026 0.5773
Au: 0.8184 0.9974 0.5773

Properties
Crystal system   orthorhombic
Formation energy   0.00 eV/f.u.
Offset from the most stable computed form   0 meV per atom
M_tot   0.00 μB/f.u.
Space-group type   Pnma

No. 3
## Tl8Hg2Au3 (PBE)

Data for an optimized crystal structure of Tl8Hg2Au3.

Unit cell a=8.8474 b=8.8474 c=5.0844 alpha=99.57 beta=99.57 gamma=77.42
Positions (direct):
Tl: 0.0777 0.0777 0.3032
Tl: 0.1358 0.6023 0.9376
Tl: 0.3720 0.3720 0.4383
Tl: 0.3977 0.8642 0.0624
Tl: 0.6023 0.1358 0.9376
Tl: 0.6280 0.6280 0.5617
Tl: 0.8642 0.3977 0.0624
Tl: 0.9223 0.9223 0.6968
Hg: 0.2172 0.2172 0.8604
Hg: 0.7828 0.7828 0.1396
Au: 0.2471 0.7529 0.5000
Au: 0.5000 0.5000 0.0000
Au: 0.7529 0.2471 0.5000

Properties
Crystal system   monoclinic
Formation energy   0.22 eV/f.u.
M_tot   0.00 μB/f.u.
Space-group type   C2/m

Q: M_tot of number 1 (Tl5HgAu)?
A: 0.00 μB/f.u.